(1)
The following is a PBE-GGA calculation of P2PdPbS after structural relaxation, from Alexandria. Values from VASP.

Symmetry: P4/mmm, No. 123
Formation energy (no corrections): 1.47 eV/atom
Volume: 27.4 Å³/atom
E above lowest polymorph: 5.18 eV/f.u.
Total DFT energy (no corrections): -3.30 eV per atom
Fermi-level density of states: 6.6 states/eV per cell

```
&SYSTEM
  ibrav = 0, nat = 5, ntyp = 4
/
ATOMIC_SPECIES
P 30.97 P.upf
Pd 106.42 Pd.upf
Pb 207.20 Pb.upf
S 32.06 S.upf
CELL_PARAMETERS angstrom
5.178 0.000 0.000
0.000 5.178 0.000
0.000 0.000 5.115
ATOMIC_POSITIONS crystal
P 0.000 0.500 0.000
P 0.500 0.000 0.000
Pd 0.000 0.000 0.500
Pb 0.500 0.500 0.000
S 0.500 0.500 0.500
```

(2)
The following is a PBE-GGA calculation of SmP2Pd7Pb2 after structural relaxation, from Alexandria. Values from VASP.

Symmetry: C2/m, No. 12
Energy of formation: -0.50 eV/atom
Volume: 19.7 Å³/atom
Total DFT energy (no corrections): -5.44 eV per atom
Fermi-level density of states: 6.5 states/eV per cell

```
&SYSTEM
  ibrav = 0, nat = 12, ntyp = 4
/
ATOMIC_SPECIES
Sm 150.36 Sm.upf
P 30.97 P.upf
Pd 106.42 Pd.upf
Pb 207.20 Pb.upf
CELL_PARAMETERS angstrom
2.979 -3.475 0.000
2.979 3.475 0.000
-1.101 0.000 11.411
ATOMIC_POSITIONS crystal
Sm 0.000 0.000 0.000
P 0.322 0.322 0.805
P 0.678 0.678 0.195
Pd 0.150 0.558 0.196
Pd 0.372 0.372 0.605
Pd 0.442 0.850 0.804
Pd 0.500 0.500 0.000
Pd 0.558 0.150 0.196
Pd 0.628 0.628 0.395
Pd 0.850 0.442 0.804
Pb 0.131 0.131 0.379
Pb 0.869 0.869 0.621
```